# La2US6 PBE-GGA optimized geometry
data_La2US6
_cell_length_a 6.641
_cell_length_b 7.577
_cell_length_c 11.089
_cell_angle_alpha 90.00
_cell_angle_beta 123.72
_cell_angle_gamma 90.00
_symmetry_space_group_name_H-M 'P 1'
_symmetry_Int_Tables_number 1
_symmetry_space_group_name_Hall 'P 1'
loop_
_atom_site_label
_atom_site_type_symbol
_atom_site_fract_x
_atom_site_fract_y
_atom_site_fract_z
La1 La 0.218 0.103 0.250
La2 La 0.218 0.397 0.750
La3 La 0.782 0.603 0.250
La4 La 0.782 0.897 0.750
U1 U 0.500 0.000 0.000
U2 U 0.500 0.500 0.500
S1 S 0.124 0.166 0.944
S2 S 0.124 0.334 0.444
S3 S 0.284 0.701 0.940
S4 S 0.284 0.799 0.440
S5 S 0.365 0.038 0.740
S6 S 0.365 0.462 0.240
S7 S 0.635 0.538 0.760
S8 S 0.635 0.962 0.260
S9 S 0.716 0.201 0.560
S10 S 0.716 0.299 0.060
S11 S 0.876 0.666 0.556
S12 S 0.876 0.834 0.056
# **ΔE_f (raw)**: -1486 kJ/mol of formula units
# **Symmetry**: P2_1/c, No. 14